# 1
A plane-wave DFT calculation with PBE was carried out for a geometry-optimized Mn4IrSe structure.

a = 4.8272 Å, b = 4.8272 Å, c = 4.8272 Å
α = 60.00°, β = 60.00°, γ = 60.00°
Closest atoms and distances in Å follow each position.
Positions (direct):
Mn  0.1213  0.6262  0.6262  6 Mn 2.39-2.44
Mn  0.6262  0.6262  0.6262  6 Mn 2.39-2.44
Mn  0.6262  0.1213  0.6262  6 Mn 2.39-2.44
Mn  0.6262  0.6262  0.1213  6 Mn 2.39-2.44
Se  0.2500  0.2500  0.2500  12 Mn 2.83, 4 Ir 2.96
Ir  0.0000  0.0000  0.0000  12 Mn 2.83, 4 Se 2.96

Output
Mass density = 10.2 g/cm³
Space-group type = F-43m
Calculated total energy = -7.713 eV per atom
DOS at the Fermi energy = 9.30 states/eV/cell
Total magnetic moment = 7.81 μB/cell


# 2
A plane-wave DFT calculation with PBE was carried out for a geometry-optimized PRuSeN structure.

a = 3.7597 Å, b = 4.4115 Å, c = 4.4465 Å
α = 74.66°, β = 64.99°, γ = 64.77°
Closest atoms and distances in Å follow each position.
Positions (direct):
Ru  0.9607  0.8517  0.0347  1 N 2.05
Se  0.7500  0.6501  0.6579  1 N 1.84
N  0.9971  0.1943  0.6199  1 P 1.68, 1 Se 1.84
P  0.2164  0.1699  0.2054  1 N 1.68

Output
Mass density = 6.2 g/cm³
ΔE to the lowest computed polymorph = 0.215 eV/atom
Space-group type = Cm
DOS at the Fermi energy = 0.80 states/eV/cell
Total magnetic moment = 0.00 μB/cell


# 3
A plane-wave DFT calculation with PBE was carried out for a geometry-optimized Zr4UN5 structure.

a = 4.6991 Å, b = 5.7046 Å, c = 5.7046 Å
α = 80.23°, β = 65.68°, γ = 65.68°
Closest atoms and distances in Å follow each position.
Positions (direct):
N  0.9013  0.3956  0.8038  1 U 2.30, 5 Zr 2.30-2.37
N  0.5010  0.0000  0.0000  4 Zr 2.32, 2 U 2.35
N  0.2970  0.8038  0.6044  1 U 2.30, 5 Zr 2.30-2.37
N  0.1007  0.6044  0.1962  1 U 2.30, 5 Zr 2.30-2.37
N  0.7051  0.1962  0.3956  1 U 2.30, 5 Zr 2.30-2.37
Zr  0.1999  0.2081  0.3941  6 N 2.30-2.37
Zr  0.5940  0.6059  0.2081  6 N 2.30-2.37
Zr  0.8022  0.7919  0.6059  6 N 2.30-2.37
Zr  0.4080  0.3941  0.7919  6 N 2.30-2.37
U  0.0010  0.0000  0.0000  6 N 2.30-2.35

Output
Mass density = 8.8 g/cm³
Space-group type = I4/m
Calculated total energy = -10.364 eV per atom
DOS at the Fermi energy = 6.16 states/eV/cell
Total magnetic moment = 0.00 μB/cell


# 4
A plane-wave DFT calculation with PBE was carried out for a geometry-optimized TaZnSN2 structure.

a = 3.7550 Å, b = 3.7550 Å, c = 4.6645 Å
α = 90.00°, β = 90.00°, γ = 90.00°
Closest atoms and distances in Å follow each position.
Positions (direct):
Ta  0.5000  0.5000  0.5000  4 S 2.66
N  0.5000  0.0000  0.0000  2 Zn 1.88
N  0.0000  0.5000  0.0000  2 Zn 1.88
Zn  0.0000  0.0000  0.0000  4 N 1.88
S  0.0000  0.0000  0.5000  2 Zn 2.33

Output
Mass density = 7.7 g/cm³
ΔE to the lowest computed polymorph = 1.201 eV/atom
Space-group type = P4/mmm
DOS at the Fermi energy = 3.99 states/eV/cell
Total magnetic moment = 0.00 μB/cell


# 5
A plane-wave DFT calculation with PBE was carried out for a geometry-optimized YHf2Cr structure.

a = 4.8848 Å, b = 4.8848 Å, c = 4.8848 Å
α = 60.00°, β = 60.00°, γ = 60.00°
Closest atoms and distances in Å follow each position.
Positions (direct):
Hf  0.2500  0.2500  0.2500  4 Cr 2.99, 4 Y 2.99
Hf  0.7500  0.7500  0.7500  4 Cr 2.99, 4 Y 2.99
Y  0.5000  0.5000  0.5000  8 Hf 2.99
Cr  0.0000  0.0000  0.0000  8 Hf 2.99

Output
Energy of formation from the pure elements = 0.5000 eV per atom
Mass density = 10.0 g/cm³
ΔE to the lowest computed polymorph = 0.000 eV/atom
Space-group type = Fm-3m
DOS at the Fermi energy = 7.05 states/eV/cell
Total magnetic moment = 0.00 μB/cell


# 6
A plane-wave DFT calculation with PBE was carried out for a geometry-optimized Ba2AcCl structure.

a = 4.0922 Å, b = 4.0922 Å, c = 12.6580 Å
α = 80.70°, β = 80.70°, γ = 60.00°
Closest atoms and distances in Å follow each position.
Positions (direct):
Ac  0.0000  0.0000  0.0000  2 Ba 3.97, 6 Ac 4.09
Ba  0.8936  0.8936  0.3193  3 Cl 3.26
Ba  0.1064  0.1064  0.6807  3 Cl 3.26
Cl  0.5000  0.5000  0.5000  6 Ba 3.26

Output
Mass density = 4.9 g/cm³
ΔE to the lowest computed polymorph = 0.080 eV/atom
Space-group type = R-3m
DOS at the Fermi energy = 5.51 states/eV/cell
Total magnetic moment = 0.82 μB/cell


Which formula does entry 2 have? PRuSeN


DOS at the Fermi energy of number 6 (Ba2AcCl)? 5.51 states/eV/cell


The lowest mass density belongs to which entry? Ba2AcCl


Please write out number 4 again, unchanged.
A plane-wave DFT calculation with PBE was carried out for a geometry-optimized TaZnSN2 structure.

a = 3.7550 Å, b = 3.7550 Å, c = 4.6645 Å
α = 90.00°, β = 90.00°, γ = 90.00°
Closest atoms and distances in Å follow each position.
Positions (direct):
Ta  0.5000  0.5000  0.5000  4 S 2.66
N  0.5000  0.0000  0.0000  2 Zn 1.88
N  0.0000  0.5000  0.0000  2 Zn 1.88
Zn  0.0000  0.0000  0.0000  4 N 1.88
S  0.0000  0.0000  0.5000  2 Zn 2.33

Output
Mass density = 7.7 g/cm³
ΔE to the lowest computed polymorph = 1.201 eV/atom
Space-group type = P4/mmm
DOS at the Fermi energy = 3.99 states/eV/cell
Total magnetic moment = 0.00 μB/cell